(1)
First-principles (GGA-PBEsol) data for a relaxed K2NaTlMo crystal, as listed in Alexandria.

Cell lengths 6.514, 6.514, 5.389 Å; angles 90.00, 90.00, 90.00 degrees
Space group P4/mmm (No. 123)
One atom of each set of equivalent atoms:
1 K 0.000 0.500 0.000 (multiplicity 2)
2 Na 0.000 0.000 0.500 (multiplicity 1)
3 Tl 0.500 0.500 0.000 (multiplicity 1)
4 Mo 0.500 0.500 0.500 (multiplicity 1)

- ΔE_f (meV/atom) = 972
- ρ (Mg/m³) = 2.9
- final energy (eV/atom) = -2.64

=====

(2)
First-principles (GGA-PBEsol) data for a relaxed SrSi2Rh crystal, as listed in Alexandria.

Cell lengths 7.035, 4.041, 5.978 Å; angles 90.00, 112.91, 90.00 degrees
Space group C2/m (No. 12)
One atom of each set of equivalent atoms:
1 Sr 0.000 0.000 0.000 (multiplicity 2)
2 Si 0.207 0.000 0.618 (multiplicity 4)
3 Rh 0.000 0.500 0.500 (multiplicity 2)

- formation energy from raw total energies (eV per formula unit) = -2.80
- ρ (Mg/m³) = 5.2
- final energy (eV/atom) = -6.07

=====

(3)
First-principles (GGA-PBEsol) data for a relaxed HoAgS2 crystal, as listed in Alexandria.

Cell lengths 7.506, 7.508, 12.180 Å; angles 90.00, 90.01, 90.00 degrees
Space group P2_1 (No. 4)
One atom of each set of equivalent atoms:
1 Ho 0.003 0.000 0.247 (multiplicity 2)
2 Ho 0.248 0.249 0.497 (multiplicity 2)
3 Ho 0.252 0.755 0.997 (multiplicity 2)
4 Ho 0.497 0.004 0.747 (multiplicity 2)
5 Ag 0.044 0.957 0.680 (multiplicity 2)
6 Ag 0.203 0.205 0.930 (multiplicity 2)
7 Ag 0.296 0.798 0.430 (multiplicity 2)
8 Ag 0.456 0.047 0.180 (multiplicity 2)
9 S 0.024 0.977 0.468 (multiplicity 2)
10 S 0.027 0.476 0.977 (multiplicity 2)
11 S 0.224 0.228 0.718 (multiplicity 2)
12 S 0.226 0.278 0.273 (multiplicity 2)
13 S 0.275 0.726 0.773 (multiplicity 2)
14 S 0.276 0.776 0.218 (multiplicity 2)
15 S 0.473 0.527 0.477 (multiplicity 2)
16 S 0.476 0.028 0.968 (multiplicity 2)

- formation energy from raw total energies (eV per formula unit) = -5.37
- ρ (Mg/m³) = 6.5
- final energy (eV/atom) = -5.60

=====

(4)
First-principles (GGA-PBEsol) data for a relaxed TiCl3 crystal, as listed in Alexandria.

Cell lengths 5.9100, 5.9100, 12.1316 Å; angles 90.00, 90.00, 120.00 degrees
Space group P-31c (No. 163)
One atom of each set of equivalent atoms:
1 Ti 0.0000 0.0000 0.2500 (multiplicity 2)
2 Ti 0.3333 0.6667 0.2500 (multiplicity 2)
3 Cl 0.0090 0.3334 0.3653 (multiplicity 12)

- formation energy from raw total energies (eV per formula unit) = -6.38
- ρ (Mg/m³) = 2.8
- final energy (eV/atom) = -5.18

=====

Which of these has the lowest final energy? SrSi2Rh